# RbAu2Br PBE relaxed
# Energy relative to the elements, uncorrected = 0.88 eV per formula unit
# E_tot = -2.08 eV per atom
# Energy above the most stable polymorph in this dataset = 496.7 meV per atom
# DOS at the Fermi energy = 1.92 states/eV/f.u.
# Calculated density = 8.19 g/cm3
# Size of the total moment = 0.0000 μB per atom
data_RbAu2Br
_symmetry_space_group_name_H-M 'F m -3 m'
_symmetry_Int_Tables_number 225
_symmetry_space_group_name_Hall '-F 4 2 3'
_cell_length_a 7.683
_cell_length_b 7.683
_cell_length_c 7.683
_cell_angle_alpha 90.00
_cell_angle_beta 90.00
_cell_angle_gamma 90.00
loop_
_atom_site_label
_atom_site_type_symbol
_atom_site_fract_x
_atom_site_fract_y
_atom_site_fract_z
_atom_site_occupancy
Rb1 Rb 0.000 0.000 0.000 1
Au1 Au 0.250 0.250 0.250 1
Br1 Br 0.000 0.000 0.500 1